*A*
The following is a DFT calculation (PBE-GGA) of a relaxed AlIr3N crystal.

SG = Pm-3m (221)
Density of states at the Fermi level = 1.52 states/eV per atom
Crystal system = cubic
Total moment = 0.71 μB/atom

Cell: 4.485 4.485 4.485 Å, 90.00 90.00 90.00°
Atoms (fractional coordinates):
Al1 0.000 0.000 0.000
Ir1 0.000 0.000 0.500
Ir2 0.000 0.500 0.000
Ir3 0.500 0.000 0.000
N1 0.500 0.500 0.500



*B*
The following is a DFT calculation (PBE-GGA) of a relaxed AlIr3N crystal.

SG = Pm-3m (221)
Density of states at the Fermi level = 1.71 states/eV per atom
Crystal system = cubic
Total moment = 0.00 μB/atom

Cell: 4.089 4.089 4.089 Å, 90.00 90.00 90.00°
Atoms (fractional coordinates):
Al1 0.000 0.000 0.000
Ir1 0.000 0.500 0.500
Ir2 0.500 0.000 0.500
Ir3 0.500 0.500 0.000
N1 0.500 0.500 0.500



Tell me which of them is the least stable. Sure, it is *A*.



*A*
The following is a DFT calculation (PBE-GGA) of a relaxed AlIrSN2 crystal.

SG = P4/mmm (123)
Density of states at the Fermi level = 0.71 states/eV per atom
Crystal system = tetragonal
Total moment = 0.19 μB/atom

Cell: 3.677 3.677 4.715 Å, 90.00 90.00 90.00°
Atoms (fractional coordinates):
Al1 0.000 0.000 0.000
Ir1 0.500 0.500 0.500
S1 0.000 0.000 0.500
N1 0.000 0.500 0.000
N2 0.500 0.000 0.000



*B*
The following is a DFT calculation (PBE-GGA) of a relaxed AlIrSN2 crystal.

SG = P4/mmm (123)
Density of states at the Fermi level = 0.34 states/eV per atom
Crystal system = tetragonal
Total moment = 0.00 μB/atom

Cell: 3.754 3.754 5.437 Å, 90.00 90.00 90.00°
Atoms (fractional coordinates):
Al1 0.000 0.000 0.000
Ir1 0.500 0.500 0.500
S1 0.500 0.500 0.000
N1 0.000 0.500 0.500
N2 0.500 0.000 0.500



Tell me which of them is the least stable. Sure, it is *A*.



*A*
The following is a DFT calculation (PBE-GGA) of a relaxed AlIrSe2N crystal.

SG = P4/mmm (123)
Density of states at the Fermi level = 0.45 states/eV per atom
Crystal system = tetragonal
Total moment = 0.00 μB/atom

Cell: 5.151 5.151 3.655 Å, 90.00 90.00 90.00°
Atoms (fractional coordinates):
Al1 0.000 0.000 0.000
Ir1 0.500 0.500 0.500
Se1 0.000 0.500 0.500
Se2 0.500 0.000 0.500
N1 0.500 0.500 0.000



*B*
The following is a DFT calculation (PBE-GGA) of a relaxed AlIrSe2N crystal.

SG = P4/mmm (123)
Density of states at the Fermi level = 0.93 states/eV per atom
Crystal system = tetragonal
Total moment = 0.00 μB/atom

Cell: 4.974 4.974 3.410 Å, 90.00 90.00 90.00°
Atoms (fractional coordinates):
Al1 0.000 0.000 0.000
Ir1 0.500 0.500 0.500
Se1 0.000 0.500 0.000
Se2 0.500 0.000 0.000
N1 0.000 0.000 0.500



Tell me which of them is the least stable. Sure, it is *B*.



*A*
The following is a DFT calculation (PBE-GGA) of a relaxed AlIrSeN2 crystal.

SG = P4/mmm (123)
Density of states at the Fermi level = 0.83 states/eV per atom
Crystal system = tetragonal
Total moment = 0.36 μB/atom

Cell: 3.609 3.609 6.158 Å, 90.00 90.00 90.00°
Atoms (fractional coordinates):
Al1 0.000 0.000 0.000
Ir1 0.500 0.500 0.500
Se1 0.000 0.000 0.500
N1 0.000 0.500 0.000
N2 0.500 0.000 0.000



*B*
The following is a DFT calculation (PBE-GGA) of a relaxed AlIrSeN2 crystal.

SG = P4/mmm (123)
Density of states at the Fermi level = 0.45 states/eV per atom
Crystal system = tetragonal
Total moment = 0.00 μB/atom

Cell: 3.790 3.790 5.643 Å, 90.00 90.00 90.00°
Atoms (fractional coordinates):
Al1 0.000 0.000 0.000
Ir1 0.500 0.500 0.500
Se1 0.500 0.500 0.000
N1 0.000 0.500 0.500
N2 0.500 0.000 0.500



Tell me which of them is the least stable. Sure, it is *A*.



*A*
The following is a DFT calculation (PBE-GGA) of a relaxed AlTe2IrN crystal.

SG = P4/mmm (123)
Density of states at the Fermi level = 0.73 states/eV per atom
Crystal system = tetragonal
Total moment = 0.00 μB/atom

Cell: 5.565 5.565 3.657 Å, 90.00 90.00 90.00°
Atoms (fractional coordinates):
Al1 0.000 0.000 0.000
Te1 0.000 0.500 0.500
Te2 0.500 0.000 0.500
Ir1 0.500 0.500 0.500
N1 0.500 0.500 0.000



*B*
The following is a DFT calculation (PBE-GGA) of a relaxed AlTe2IrN crystal.

SG = P4/mmm (123)
Density of states at the Fermi level = 0.83 states/eV per atom
Crystal system = tetragonal
Total moment = 0.00 μB/atom

Cell: 5.372 5.372 3.404 Å, 90.00 90.00 90.00°
Atoms (fractional coordinates):
Al1 0.000 0.000 0.000
Te1 0.000 0.500 0.000
Te2 0.500 0.000 0.000
Ir1 0.500 0.500 0.500
N1 0.000 0.000 0.500



Tell me which of them is the least stable. Sure, it is *B*.



*A*
The following is a DFT calculation (PBE-GGA) of a relaxed NbAlIr3 crystal.

SG = Pm-3m (221)
Density of states at the Fermi level = 1.27 states/eV per atom
Crystal system = cubic
Total moment = 0.00 μB/atom

Cell: 4.766 4.766 4.766 Å, 90.00 90.00 90.00°
Atoms (fractional coordinates):
Nb1 0.000 0.000 0.000
Al1 0.500 0.500 0.500
Ir1 0.000 0.000 0.500
Ir2 0.000 0.500 0.000
Ir3 0.500 0.000 0.000



*B*
The following is a DFT calculation (PBE-GGA) of a relaxed NbAlIr3 crystal.

SG = Pm-3m (221)
Density of states at the Fermi level = 2.07 states/eV per atom
Crystal system = cubic
Total moment = 0.00 μB/atom

Cell: 4.420 4.420 4.420 Å, 90.00 90.00 90.00°
Atoms (fractional coordinates):
Nb1 0.000 0.000 0.000
Al1 0.500 0.500 0.500
Ir1 0.000 0.500 0.500
Ir2 0.500 0.000 0.500
Ir3 0.500 0.500 0.000



Tell me which of them is the least stable. Sure, it is *A*.



*A*
The following is a DFT calculation (PBE-GGA) of a relaxed NdAl3Ir crystal.

SG = Cmcm (63)
Density of states at the Fermi level = 0.37 states/eV per atom
Crystal system = orthorhombic
Total moment = 0.00 μB/atom

Cell: 6.940 6.940 4.819 Å, 90.00 90.00 126.24°
Atoms (fractional coordinates):
Nd1 0.098 0.902 0.750
Nd2 0.902 0.098 0.250
Al1 0.112 0.461 0.750
Al2 0.461 0.112 0.250
Al3 0.500 0.500 0.000
Al4 0.500 0.500 0.500
Al5 0.539 0.888 0.750
Al6 0.888 0.539 0.250
Ir1 0.317 0.683 0.250
Ir2 0.683 0.317 0.750



*B*
The following is a DFT calculation (PBE-GGA) of a relaxed NdAl3Ir crystal.

SG = Pnma (62)
Density of states at the Fermi level = 0.36 states/eV per atom
Crystal system = orthorhombic
Total moment = 0.00 μB/atom

Cell: 8.462 4.235 11.039 Å, 90.00 90.00 90.00°
Atoms (fractional coordinates):
Nd1 0.193 0.250 0.018
Nd2 0.307 0.750 0.518
Nd3 0.693 0.250 0.482
Nd4 0.807 0.750 0.982
Al1 0.051 0.250 0.582
Al2 0.114 0.750 0.786
Al3 0.148 0.750 0.224
Al4 0.352 0.250 0.724
Al5 0.386 0.250 0.286
Al6 0.449 0.750 0.082
Al7 0.551 0.250 0.918
Al8 0.614 0.750 0.714
Al9 0.648 0.750 0.276
Al10 0.852 0.250 0.776
Al11 0.886 0.250 0.214
Al12 0.949 0.750 0.418
Ir1 0.108 0.250 0.354
Ir2 0.392 0.750 0.854
Ir3 0.608 0.250 0.146
Ir4 0.892 0.750 0.646



Tell me which of them is the least stable. Sure, it is *A*.



*A*
The following is a DFT calculation (PBE-GGA) of a relaxed AlNi6Ir crystal.

SG = Cmmm (65)
Density of states at the Fermi level = 1.62 states/eV per atom
Crystal system = orthorhombic
Total moment = 0.24 μB/atom

Cell: 6.225 6.225 10.181 Å, 90.00 90.00 109.62°
Atoms (fractional coordinates):
Al1 0.000 0.000 0.247
Al2 0.000 0.000 0.753
Al3 0.250 0.750 0.000
Al4 0.750 0.250 0.000
Ni1 0.000 0.000 0.000
Ni2 0.000 0.000 0.500
Ni3 0.124 0.373 0.373
Ni4 0.124 0.373 0.627
Ni5 0.124 0.375 0.123
Ni6 0.124 0.375 0.877
Ni7 0.249 0.751 0.249
Ni8 0.249 0.751 0.751
Ni9 0.373 0.124 0.373
Ni10 0.373 0.124 0.627
Ni11 0.375 0.124 0.123
Ni12 0.375 0.124 0.877
Ni13 0.500 0.500 0.000
Ni14 0.500 0.500 0.500
Ni15 0.625 0.876 0.123
Ni16 0.625 0.876 0.877
Ni17 0.627 0.876 0.373
Ni18 0.627 0.876 0.627
Ni19 0.751 0.249 0.249
Ni20 0.751 0.249 0.751
Ni21 0.876 0.625 0.123
Ni22 0.876 0.625 0.877
Ni23 0.876 0.627 0.373
Ni24 0.876 0.627 0.627
Ir1 0.248 0.752 0.500
Ir2 0.500 0.500 0.249
Ir3 0.500 0.500 0.751
Ir4 0.752 0.248 0.500



*B*
The following is a DFT calculation (PBE-GGA) of a relaxed AlNi6Ir crystal.

SG = C2/m (12)
Density of states at the Fermi level = 1.35 states/eV per atom
Crystal system = monoclinic
Total moment = 0.00 μB/atom

Cell: 4.303 4.303 6.389 Å, 104.95 104.95 68.04°
Atoms (fractional coordinates):
Al1 0.000 0.000 0.000
Ni1 0.058 0.540 0.701
Ni2 0.371 0.371 0.080
Ni3 0.460 0.942 0.299
Ni4 0.540 0.058 0.701
Ni5 0.629 0.629 0.920
Ni6 0.942 0.460 0.299
Ir1 0.500 0.500 0.500



Tell me which of them is the least stable. Sure, it is *B*.



*A*
The following is a DFT calculation (PBE-GGA) of a relaxed Al2Ni2Ir crystal.

SG = P4/mbm (127)
Density of states at the Fermi level = 1.04 states/eV per atom
Crystal system = tetragonal
Total moment = 0.00 μB/atom

Cell: 6.734 6.734 2.819 Å, 90.00 90.00 90.00°
Atoms (fractional coordinates):
Al1 0.146 0.354 0.000
Al2 0.354 0.854 0.000
Al3 0.646 0.146 0.000
Al4 0.854 0.646 0.000
Ni1 0.150 0.650 0.500
Ni2 0.350 0.150 0.500
Ni3 0.650 0.850 0.500
Ni4 0.850 0.350 0.500
Ir1 0.000 0.000 0.000
Ir2 0.500 0.500 0.000



*B*
The following is a DFT calculation (PBE-GGA) of a relaxed Al2Ni2Ir crystal.

SG = P4/mbm (127)
Density of states at the Fermi level = 0.96 states/eV per atom
Crystal system = tetragonal
Total moment = 0.00 μB/atom

Cell: 6.800 6.800 2.760 Å, 90.00 90.00 90.00°
Atoms (fractional coordinates):
Al1 0.175 0.325 0.000
Al2 0.325 0.825 0.000
Al3 0.675 0.175 0.000
Al4 0.825 0.675 0.000
Ni1 0.124 0.624 0.500
Ni2 0.376 0.124 0.500
Ni3 0.624 0.876 0.500
Ni4 0.876 0.376 0.500
Ir1 0.000 0.000 0.500
Ir2 0.500 0.500 0.500



Tell me which of them is the least stable. Sure, it is *A*.



*A*
The following is a DFT calculation (PBE-GGA) of a relaxed AlNi3Ir crystal.

SG = Pm-3m (221)
Density of states at the Fermi level = 0.92 states/eV per atom
Crystal system = cubic
Total moment = 0.00 μB/atom

Cell: 4.145 4.145 4.145 Å, 90.00 90.00 90.00°
Atoms (fractional coordinates):
Al1 0.000 0.000 0.000
Ni1 0.000 0.000 0.500
Ni2 0.000 0.500 0.000
Ni3 0.500 0.000 0.000
Ir1 0.500 0.500 0.500



*B*
The following is a DFT calculation (PBE-GGA) of a relaxed AlNi3Ir crystal.

SG = Pm-3m (221)
Density of states at the Fermi level = 1.42 states/eV per atom
Crystal system = cubic
Total moment = 0.42 μB/atom

Cell: 4.528 4.528 4.528 Å, 90.00 90.00 90.00°
Atoms (fractional coordinates):
Al1 0.000 0.000 0.000
Ni1 0.000 0.500 0.500
Ni2 0.500 0.000 0.500
Ni3 0.500 0.500 0.000
Ir1 0.500 0.500 0.500



Tell me which of them is the least stable. Sure, it is *B*.



*A*
The following is a DFT calculation (PBE-GGA) of a relaxed AlIr3O crystal.

SG = Pm-3m (221)
Density of states at the Fermi level = 1.06 states/eV per atom
Crystal system = cubic
Total moment = 0.90 μB/atom

Cell: 4.511 4.511 4.511 Å, 90.00 90.00 90.00°
Atoms (fractional coordinates):
Al1 0.000 0.000 0.000
Ir1 0.000 0.000 0.500
Ir2 0.000 0.500 0.000
Ir3 0.500 0.000 0.000
O1 0.500 0.500 0.500



*B*
The following is a DFT calculation (PBE-GGA) of a relaxed AlIr3O crystal.

SG = Pm-3m (221)
Density of states at the Fermi level = 1.56 states/eV per atom
Crystal system = cubic
Total moment = 0.00 μB/atom

Cell: 4.135 4.135 4.135 Å, 90.00 90.00 90.00°
Atoms (fractional coordinates):
Al1 0.000 0.000 0.000
Ir1 0.000 0.500 0.500
Ir2 0.500 0.000 0.500
Ir3 0.500 0.500 0.000
O1 0.500 0.500 0.500



Tell me which of them is the least stable. Sure, it is *A*.



*A*
The following is a DFT calculation (PBE-GGA) of a relaxed AlIr2O crystal.

SG = I-42d (122)
Density of states at the Fermi level = 0.58 states/eV per atom
Crystal system = tetragonal
Total moment = 0.00 μB/atom

Cell: 7.297 7.297 7.297 Å, 144.90 144.90 50.48°
Atoms (fractional coordinates):
Al1 0.000 0.000 0.000
Al2 0.750 0.250 0.500
Ir1 0.235 0.625 0.110
Ir2 0.375 0.485 0.610
Ir3 0.515 0.125 0.890
Ir4 0.875 0.765 0.390
O1 0.250 0.750 0.500
O2 0.500 0.500 0.000



*B*
The following is a DFT calculation (PBE-GGA) of a relaxed AlIr2O crystal.

SG = Fm-3m (225)
Density of states at the Fermi level = 1.04 states/eV per atom
Crystal system = cubic
Total moment = 0.00 μB/atom

Cell: 4.162 4.162 4.162 Å, 60.00 60.00 60.00°
Atoms (fractional coordinates):
Al1 0.000 0.000 0.000
Ir1 0.250 0.250 0.250
Ir2 0.750 0.750 0.750
O1 0.500 0.500 0.500



Tell me which of them is the least stable. Sure, it is *B*.